1.
Entry from the Alexandria database: an optimized crystal structure of HfCuTeW2 (GGA-PBE).

Results
Raw total energy: -6.328 eV/atom
Formation energy from raw total energies: 11.5 eV/f.u.
Space group: P4/mmm, No. 123
M_tot: 1.22 μB/f.u.

Lattice parameters (Å, degrees): 4.912 4.912 5.317 90.00 90.00 90.00
Fractional positions:
Hf 0.000 0.000 0.000
Cu 0.500 0.500 0.500
Te 0.000 0.000 0.500
W 0.000 0.500 0.000
W 0.500 0.000 0.000

2.
Entry from the Alexandria database: an optimized crystal structure of Ta2OsW (GGA-PBE).

Results
Formation energy from the elements: -11.8 kJ per mole of atoms
Raw total energy: -12.095 eV/atom
Space group: P2/m, No. 10
Energy above the lowest structure with this stoichiometry: 0.176 eV/atom
M_tot: 0.00 μB/f.u.

Lattice parameters (Å, degrees): 2.834 4.477 5.295 90.00 99.81 90.00
Fractional positions:
Ta 0.246 0.000 0.250
Ta 0.754 0.000 0.750
Os 0.500 0.500 0.000
W 0.000 0.500 0.500

3.
Entry from the Alexandria database: an optimized crystal structure of NbZnSbTe2 (GGA-PBE).

Results
Raw total energy: -3.362 eV/atom
Formation energy from raw total energies: 4.9 eV/f.u.
Space group: P4/mmm, No. 123
Energy above the lowest structure with this stoichiometry: 0.699 eV/atom
M_tot: 0.00 μB/f.u.

Lattice parameters (Å, degrees): 5.192 5.192 5.034 90.00 90.00 90.00
Fractional positions:
Nb 0.000 0.000 0.000
Zn 0.500 0.500 0.500
Sb 0.500 0.500 0.000
Te 0.000 0.500 0.500
Te 0.500 0.000 0.500

4.
Entry from the Alexandria database: an optimized crystal structure of Ti3Mn (GGA-PBE).

Results
Formation energy from the elements: -2.3 kJ per mole of atoms
Raw total energy: -8.238 eV/atom
Space group: P6_3/mcm, No. 193
M_tot: 0.00 μB/f.u.

Lattice parameters (Å, degrees): 5.167 5.167 5.342 90.00 90.00 120.00
Fractional positions:
Ti 0.000 0.399 0.250
Ti 0.000 0.601 0.750
Ti 0.399 0.000 0.250
Ti 0.399 0.399 0.750
Ti 0.601 0.000 0.750
Ti 0.601 0.601 0.250
Mn 0.000 0.000 0.000
Mn 0.000 0.000 0.500

5.
Entry from the Alexandria database: an optimized crystal structure of CsKNa (GGA-PBE).

Results
Formation energy from the elements: 1.4 kJ per mole of atoms
Raw total energy: -1.076 eV/atom
Space group: Imma, No. 74
Energy above the lowest structure with this stoichiometry: 0.000 eV/atom
M_tot: 0.00 μB/f.u.

Lattice parameters (Å, degrees): 8.456 8.695 11.574 90.00 90.00 90.00
Fractional positions:
Cs 0.000 0.250 0.116
Cs 0.000 0.750 0.884
Cs 0.500 0.250 0.384
Cs 0.500 0.750 0.616
K 0.000 0.000 0.500
K 0.000 0.500 0.500
K 0.500 0.000 0.000
K 0.500 0.500 0.000
Na 0.250 0.250 0.750
Na 0.250 0.750 0.250
Na 0.750 0.250 0.750
Na 0.750 0.750 0.250

6.
Entry from the Alexandria database: an optimized crystal structure of PuTlO4 (GGA-PBE).

Results
Raw total energy: -7.856 eV/atom
Formation energy from raw total energies: -10.6 eV/f.u.
Space group: P4/mmm, No. 123
Energy above the lowest structure with this stoichiometry: 0.179 eV/atom
M_tot: 3.00 μB/f.u.

Lattice parameters (Å, degrees): 3.799 3.799 5.432 90.00 90.00 90.00
Fractional positions:
Pu 0.000 0.000 0.000
Tl 0.500 0.500 0.500
O 0.000 0.500 0.232
O 0.000 0.500 0.768
O 0.500 0.000 0.232
O 0.500 0.000 0.768

7.
Entry from the Alexandria database: an optimized crystal structure of Li2LaMo (GGA-PBE).

Results
Formation energy from the elements: 48.2 kJ per mole of atoms
Raw total energy: -4.397 eV/atom
Space group: Cm, No. 8
Energy above the lowest structure with this stoichiometry: 0.087 eV/atom
M_tot: 0.00 μB/f.u.

Lattice parameters (Å, degrees): 10.503 2.954 5.588 90.00 113.42 90.00
Fractional positions:
Li 0.000 0.000 0.000
Li 0.241 0.500 0.094
Li 0.500 0.500 0.000
Li 0.741 0.000 0.094
La 0.230 0.000 0.594
La 0.730 0.500 0.594
Mo 0.465 0.000 0.468
Mo 0.965 0.500 0.468

8.
Entry from the Alexandria database: an optimized crystal structure of Ti2CrBrCl (GGA-PBE).

Results
Raw total energy: -5.226 eV/atom
Formation energy from raw total energies: 2.8 eV/f.u.
Space group: P4/mmm, No. 123
M_tot: 3.21 μB/f.u.

Lattice parameters (Å, degrees): 4.427 4.427 6.022 90.00 90.00 90.00
Fractional positions:
Ti 0.000 0.500 0.000
Ti 0.500 0.000 0.000
Cr 0.000 0.000 0.500
Br 0.500 0.500 0.500
Cl 0.500 0.500 0.000